A plane-wave DFT calculation with PBE-GGA was carried out for an optimized crystal structure of MnBiCl3.

Cell: 5.5688 5.5688 5.5688 Å, 90.00 90.00 90.00°
With the nearest neighbours (Å) after each atom.
Atoms (fractional coordinates):
1 Cl 0.0000 0.5000 0.0000  2 Bi 2.78
2 Cl 0.0000 0.0000 0.5000  2 Bi 2.78
3 Cl 0.5000 0.0000 0.0000  2 Bi 2.78
4 Mn 0.5000 0.5000 0.5000  12 Cl 3.94
5 Bi 0.0000 0.0000 0.0000  6 Cl 2.78

Calculated values
Crystal system: cubic
Relative energy among the computed polymorphs, meV per atom: 339
Symmetry: No. 221

A plane-wave DFT calculation with PBE-GGA was carried out for an optimized crystal structure of Ho12In6Ni.

Cell: 8.2259 8.2259 8.2259 Å, 93.92 93.92 93.92°
With the nearest neighbours (Å) after each atom.
Atoms (fractional coordinates):
1 Ho 0.3133 0.9776 0.0934  1 Ni 2.66
2 Ho 0.0224 0.9066 0.6867  1 Ni 2.66
3 Ho 0.9776 0.0934 0.3133  1 Ni 2.66
4 Ho 0.4573 0.7961 0.5713  4 In 3.11-3.25
5 Ho 0.5713 0.4573 0.7961  4 In 3.11-3.25
6 Ho 0.6867 0.0224 0.9066  1 Ni 2.66
7 Ho 0.9066 0.6867 0.0224  1 Ni 2.66
8 Ho 0.2039 0.4287 0.5427  4 In 3.11-3.25
9 Ho 0.5427 0.2039 0.4287  4 In 3.11-3.25
10 Ho 0.0934 0.3133 0.9776  1 Ni 2.66
11 Ho 0.7961 0.5713 0.4573  4 In 3.11-3.25
12 Ho 0.4287 0.5427 0.2039  4 In 3.11-3.25
13 In 0.7368 0.3449 0.1365  8 Ho 3.11-3.31
14 In 0.3449 0.1365 0.7368  8 Ho 3.11-3.31
15 In 0.6551 0.8635 0.2632  8 Ho 3.11-3.31
16 In 0.2632 0.6551 0.8635  8 Ho 3.11-3.31
17 In 0.1365 0.7368 0.3449  8 Ho 3.11-3.31
18 In 0.8635 0.2632 0.6551  8 Ho 3.11-3.31
19 Ni 0.0000 0.0000 0.0000  6 Ho 2.66

Calculated values
Calculated formation energy, kJ per mole of atoms: -20
Crystal system: trigonal
Symmetry: No. 148

A plane-wave DFT calculation with PBE-GGA was carried out for an optimized crystal structure of Dy2Th4Sn3N2.

Cell: 4.8074 4.8074 13.3233 Å, 100.39 100.39 90.00°
With the nearest neighbours (Å) after each atom.
Atoms (fractional coordinates):
1 Dy 0.6961 0.6961 0.3922  1 N 2.33
2 Dy 0.3039 0.3039 0.6078  1 N 2.33
3 N 0.3942 0.3942 0.7885  1 Dy 2.33, 4 Th 2.46
4 N 0.6058 0.6058 0.2115  1 Dy 2.33, 4 Th 2.46
5 Th 0.0847 0.5847 0.1693  2 N 2.46
6 Th 0.4153 0.9153 0.8307  2 N 2.46
7 Th 0.9153 0.4153 0.8307  2 N 2.46
8 Th 0.5847 0.0847 0.1693  2 N 2.46
9 Sn 0.0000 0.0000 0.0000  8 Th 3.25
10 Sn 0.8198 0.8198 0.6395  5 Dy 3.19-3.42, 4 Th 3.44
11 Sn 0.1802 0.1802 0.3605  5 Dy 3.19-3.42, 4 Th 3.44

Calculated values
Energy, eV for the cell shown: -77.1
Crystal system: tetragonal
Symmetry: No. 139

A plane-wave DFT calculation with PBE-GGA was carried out for an optimized crystal structure of Pm2PtN.

Cell: 3.5861 7.0639 6.4678 Å, 90.00 90.00 104.70°
With the nearest neighbours (Å) after each atom.
Atoms (fractional coordinates):
1 N 0.7761 0.5522 0.7500  6 Pm 2.48-2.64
2 N 0.2239 0.4478 0.2500  6 Pm 2.48-2.64
3 Pt 0.9910 0.9819 0.2500  8 Pm 3.04-3.15, 1 N 3.18, 2 Pt 3.24
4 Pt 0.0090 0.0181 0.7500  8 Pm 3.04-3.15, 1 N 3.18, 2 Pt 3.24
5 Pm 0.3589 0.7178 0.9933  3 N 2.48-2.64
6 Pm 0.6411 0.2822 0.0067  3 N 2.48-2.64
7 Pm 0.3589 0.7178 0.5067  3 N 2.48-2.64
8 Pm 0.6411 0.2822 0.4933  3 N 2.48-2.64

Calculated values
Crystal system: orthorhombic
Relative energy among the computed polymorphs, meV per atom: 99
Symmetry: No. 63

A plane-wave DFT calculation with PBE-GGA was carried out for an optimized crystal structure of CeDySi2.

Cell: 4.3582 3.8703 5.7650 Å, 90.00 112.21 90.00°
With the nearest neighbours (Å) after each atom.
Atoms (fractional coordinates):
1 Ce 0.7231 0.0000 0.9852  7 Si 3.00-3.16
2 Dy 0.4436 0.5000 0.4261  7 Si 2.99-3.15
3 Si 0.0082 0.0000 0.5554  2 Si 2.50
4 Si 0.1561 0.5000 0.8513  2 Si 2.50

Calculated values
Crystal system: orthorhombic
Relative energy among the computed polymorphs, meV per atom: 0
Symmetry: No. 38

A plane-wave DFT calculation with PBE-GGA was carried out for an optimized crystal structure of NbGaRu3.

Cell: 4.4350 4.4350 4.4350 Å, 90.00 90.00 90.00°
With the nearest neighbours (Å) after each atom.
Atoms (fractional coordinates):
1 Ru 0.0000 0.0000 0.5000  2 Ga 2.22
2 Ru 0.5000 0.0000 0.0000  2 Ga 2.22
3 Ru 0.0000 0.5000 0.0000  2 Ga 2.22
4 Ga 0.0000 0.0000 0.0000  6 Ru 2.22
5 Nb 0.5000 0.5000 0.5000  12 Ru 3.14

Calculated values
Calculated formation energy, kJ per mole of atoms: 92
Crystal system: cubic
Relative energy among the computed polymorphs, meV per atom: 0
Symmetry: No. 221